# In5Sn2HgPb, relaxed, DFT PBE-GGA
# energy of formation from the pure elements: 0.6 eV/f.u.
# size of the total moment: 0.00 μB per formula unit
# crystal system: orthorhombic
data_In5Sn2HgPb
_chemical_formula_sum 'In20 Sn8 Hg4 Pb4'
_space_group_name_H-M_alt 'C m c 21'
_space_group_IT_number 36
_cell_length_a 4.338
_cell_length_b 18.116
_cell_length_c 13.494
_cell_angle_alpha 90.00
_cell_angle_beta 90.00
_cell_angle_gamma 90.00
loop_
_space_group_symop_operation_xyz
'x,y,z'
'-x,-y,z+1/2'
'-x,y,z'
'x,-y,z+1/2'
'x+1/2,y+1/2,z'
'-x+1/2,-y+1/2,z+1/2'
'-x+1/2,y+1/2,z'
'x+1/2,-y+1/2,z+1/2'
loop_
_atom_site_label
_atom_site_fract_x
_atom_site_fract_y
_atom_site_fract_z
In1 0.000 0.004 0.000
In2 0.000 0.101 0.218
In3 0.000 0.190 0.514
In4 0.000 0.203 0.887
In5 0.000 0.447 0.350
Sn1 0.000 0.357 0.549
Sn2 0.000 0.381 0.885
Hg1 0.000 0.269 0.207
Pb1 0.000 0.085 0.697